# 1
Te2PbC after structural relaxation. Source: Alexandria, functional GGA-PBE.

Its uncorrected formation energy is 852 meV/atom. The relative energy among the computed polymorphs is 0.000 eV/atom.

Geometry as CIF:
```
data_Te2PbC
_chemical_formula_sum 'Te4 Pb2 C2'
_cell_length_a 7.144
_cell_length_b 7.144
_cell_length_c 6.632
_cell_angle_alpha 57.41
_cell_angle_beta 57.41
_cell_angle_gamma 90.00
_symmetry_space_group_name_H-M 'P 1'
_symmetry_Int_Tables_number 1
loop_
_symmetry_equiv_pos_as_xyz
'x,y,z'
loop_
_atom_site_label
_atom_site_fract_x
_atom_site_fract_y
_atom_site_fract_z
Te1 0.231 0.625 0.250
Te2 0.519 0.125 0.250
Te3 0.875 0.769 0.750
Te4 0.375 0.481 0.750
C1 0.250 0.750 0.500
C2 0.500 0.500 0.000
Pb1 0.000 0.000 0.000
Pb2 0.750 0.250 0.500
```

***

# 2
TePb2C after structural relaxation. Source: Alexandria, functional GGA-PBE.

Its uncorrected formation energy is 1345 meV/atom. The relative energy among the computed polymorphs is 0.516 eV/atom.

Geometry as CIF:
```
data_TePb2C
_chemical_formula_sum 'Te1 Pb2 C1'
_cell_length_a 5.243
_cell_length_b 5.243
_cell_length_c 5.243
_cell_angle_alpha 60.00
_cell_angle_beta 60.00
_cell_angle_gamma 60.00
_symmetry_space_group_name_H-M 'P 1'
_symmetry_Int_Tables_number 1
loop_
_symmetry_equiv_pos_as_xyz
'x,y,z'
loop_
_atom_site_label
_atom_site_fract_x
_atom_site_fract_y
_atom_site_fract_z
Pb1 0.250 0.250 0.250
Pb2 0.750 0.750 0.750
Te1 0.500 0.500 0.500
C1 0.000 0.000 0.000
```

***

# 3
Te2PbC after structural relaxation. Source: Alexandria, functional GGA-PBE.

Its uncorrected formation energy is 1540 meV/atom. The relative energy among the computed polymorphs is 0.688 eV/atom.

Geometry as CIF:
```
data_Te2PbC
_chemical_formula_sum 'Te2 Pb1 C1'
_cell_length_a 5.202
_cell_length_b 5.202
_cell_length_c 5.202
_cell_angle_alpha 60.00
_cell_angle_beta 60.00
_cell_angle_gamma 60.00
_symmetry_space_group_name_H-M 'P 1'
_symmetry_Int_Tables_number 1
loop_
_symmetry_equiv_pos_as_xyz
'x,y,z'
loop_
_atom_site_label
_atom_site_fract_x
_atom_site_fract_y
_atom_site_fract_z
Te1 0.250 0.250 0.250
Te2 0.750 0.750 0.750
Pb1 0.500 0.500 0.500
C1 0.000 0.000 0.000
```

***

# 4
VTe2PbC after structural relaxation. Source: Alexandria, functional GGA-PBE.

Its uncorrected formation energy is 1349 meV/atom.

Geometry as CIF:
```
data_VTe2PbC
_chemical_formula_sum 'V1 Te2 Pb1 C1'
_cell_length_a 4.715
_cell_length_b 4.889
_cell_length_c 4.715
_cell_angle_alpha 90.00
_cell_angle_beta 90.00
_cell_angle_gamma 90.00
_symmetry_space_group_name_H-M 'P 1'
_symmetry_Int_Tables_number 1
loop_
_symmetry_equiv_pos_as_xyz
'x,y,z'
loop_
_atom_site_label
_atom_site_fract_x
_atom_site_fract_y
_atom_site_fract_z
Te1 0.000 0.000 0.500
Te2 0.500 0.000 0.000
Pb1 0.000 0.500 0.000
C1 0.000 0.000 0.000
V1 0.500 0.500 0.500
```

***

# 5
ZrTePbC2 after structural relaxation. Source: Alexandria, functional GGA-PBE.

Its uncorrected formation energy is 1222 meV/atom.

Geometry as CIF:
```
data_ZrTePbC2
_chemical_formula_sum 'Zr1 Te1 Pb1 C2'
_cell_length_a 4.446
_cell_length_b 5.881
_cell_length_c 4.446
_cell_angle_alpha 90.00
_cell_angle_beta 90.00
_cell_angle_gamma 90.00
_symmetry_space_group_name_H-M 'P 1'
_symmetry_Int_Tables_number 1
loop_
_symmetry_equiv_pos_as_xyz
'x,y,z'
loop_
_atom_site_label
_atom_site_fract_x
_atom_site_fract_y
_atom_site_fract_z
Te1 0.000 0.500 0.000
C1 0.000 0.000 0.500
C2 0.500 0.000 0.000
Zr1 0.000 0.000 0.000
Pb1 0.500 0.500 0.500
```

***

# 6
Th2PbC after structural relaxation. Source: Alexandria, functional GGA-PBE.

For the formation energy, the calculation gives -0.394 eV per atom.

Geometry as CIF:
```
data_Th2PbC
_chemical_formula_sum 'Th2 Pb1 C1'
_cell_length_a 3.742
_cell_length_b 3.742
_cell_length_c 8.738
_cell_angle_alpha 89.96
_cell_angle_beta 102.39
_cell_angle_gamma 120.02
_symmetry_space_group_name_H-M 'P 1'
_symmetry_Int_Tables_number 1
loop_
_symmetry_equiv_pos_as_xyz
'x,y,z'
loop_
_atom_site_label
_atom_site_fract_x
_atom_site_fract_y
_atom_site_fract_z
C1 0.000 0.000 0.000
Th1 0.447 0.723 0.170
Th2 0.553 0.277 0.830
Pb1 0.000 0.500 0.500
```

***

# 7
Th4Pb2C after structural relaxation. Source: Alexandria, functional GGA-PBE.

For the formation energy, the calculation gives -0.215 eV per atom. The relative energy among the computed polymorphs is 0.034 eV/atom.

Geometry as CIF:
```
data_Th4Pb2C
_chemical_formula_sum 'Th8 Pb4 C2'
_cell_length_a 6.619
_cell_length_b 6.833
_cell_length_c 9.782
_cell_angle_alpha 90.00
_cell_angle_beta 110.03
_cell_angle_gamma 90.00
_symmetry_space_group_name_H-M 'P 1'
_symmetry_Int_Tables_number 1
loop_
_symmetry_equiv_pos_as_xyz
'x,y,z'
loop_
_atom_site_label
_atom_site_fract_x
_atom_site_fract_y
_atom_site_fract_z
Th1 0.550 0.485 0.294
Th2 0.166 0.750 0.960
Th3 0.916 0.250 0.656
Th4 0.550 0.015 0.294
Th5 0.834 0.250 0.040
Th6 0.084 0.750 0.344
Th7 0.450 0.515 0.706
Th8 0.450 0.985 0.706
Pb1 0.151 0.250 0.397
Pb2 0.293 0.250 0.970
Pb3 0.849 0.750 0.603
Pb4 0.707 0.750 0.030
C1 0.679 0.250 0.786
C2 0.321 0.750 0.214
```

***

# 8
Th3PbC2 after structural relaxation. Source: Alexandria, functional GGA-PBE.

For the formation energy, the calculation gives -0.126 eV per atom.

Geometry as CIF:
```
data_Th3PbC2
_chemical_formula_sum 'Th6 Pb2 C4'
_cell_length_a 3.673
_cell_length_b 6.524
_cell_length_c 11.438
_cell_angle_alpha 90.00
_cell_angle_beta 90.00
_cell_angle_gamma 90.00
_symmetry_space_group_name_H-M 'P 1'
_symmetry_Int_Tables_number 1
loop_
_symmetry_equiv_pos_as_xyz
'x,y,z'
loop_
_atom_site_label
_atom_site_fract_x
_atom_site_fract_y
_atom_site_fract_z
C1 0.500 0.992 0.606
C2 0.000 0.992 0.311
C3 0.500 0.492 0.394
C4 0.000 0.492 0.689
Th1 0.000 0.242 0.500
Th2 0.500 0.235 0.230
Th3 0.500 0.749 0.230
Th4 0.000 0.742 0.500
Th5 0.500 0.735 0.770
Th6 0.500 0.249 0.770
Pb1 0.000 0.492 0.012
Pb2 0.000 0.992 0.988
```

***

Number 1: total DFT energy (no corrections) -3.9520 eV/atom. Number 2: total DFT energy (no corrections) -3.6007 eV/atom. Number 3: total DFT energy (no corrections) -3.2636 eV/atom. Number 4: total DFT energy (no corrections) -4.3177 eV/atom. Number 5: total DFT energy (no corrections) -5.5472 eV/atom. Number 6: total DFT energy (no corrections) -7.3372 eV/atom. Number 7: total DFT energy (no corrections) -6.8321 eV/atom. Number 8: total DFT energy (no corrections) -7.5285 eV/atom.